[1]
Density functional theory data (PBE-GGA) for a geometry-optimized Y2TaCl structure.

a = 5.8517 Å, b = 5.8517 Å, c = 14.6696 Å
α = 90.00°, β = 90.00°, γ = 90.00°
Space group I-42d (No. 122)
Inequivalent atoms, fractional coordinates:
1 Y 0.2387 0.2500 0.1250 x8
2 Ta 0.0000 0.0000 0.5000 x4
3 Cl 0.0000 0.0000 0.0000 x4

As for the crystal system: tetragonal. As for the energy: -6.02 eV per atom. The uncorrected formation energy comes out at 0.64 eV per atom.

=====

[2]
Density functional theory data (PBE-GGA) for a geometry-optimized YTaCl2 structure.

a = 3.0720 Å, b = 6.0306 Å, c = 9.0095 Å
α = 90.00°, β = 90.00°, γ = 90.00°
Space group Cmmm (No. 65)
Inequivalent atoms, fractional coordinates:
1 Y 0.0000 0.0000 0.0000 x2
2 Ta 0.0000 0.0000 0.5000 x2
3 Cl 0.0000 0.5000 0.2686 x4

As for the crystal system: orthorhombic. As for the energy: -5.81 eV per atom. The uncorrected formation energy comes out at -0.31 eV per atom.

=====

We obtain ΔE to the lowest computed polymorph values of 1080.9 660.4 meV/atom for the records listed above, in that order.